# 1
Here is a geometry-optimized AcPOs structure from the Alexandria database. Energies are from PBE.

Structure (CIF):
```
data_AcPOs
_chemical_formula_sum 'Ac4 P4 Os4'
_symmetry_space_group_name_H-M 'P 1'
_symmetry_Int_Tables_number 1
_symmetry_space_group_name_Hall 'P 1'
_cell_length_a 8.513
_cell_length_b 6.206
_cell_length_c 6.105
_cell_angle_alpha 90.00
_cell_angle_beta 112.54
_cell_angle_gamma 90.00
loop_
_atom_site_label
_atom_site_fract_x
_atom_site_fract_y
_atom_site_fract_z
_atom_site_occupancy
Ac1 0.249 0.000 0.244 1
Ac2 0.251 0.500 0.756 1
Ac3 0.749 0.500 0.244 1
Ac4 0.751 0.000 0.756 1
P1 0.098 0.500 0.191 1
P2 0.402 0.000 0.809 1
P3 0.598 0.000 0.191 1
P4 0.902 0.500 0.809 1
Os1 0.118 0.000 0.688 1
Os2 0.382 0.500 0.312 1
Os3 0.618 0.500 0.688 1
Os4 0.882 0.000 0.312 1
```

Summary:
Energy of formation from the pure elements in eV per atom: -0.158
Raw total energy in eV/atom: -7.074
Space group: C2/m, No. 12
E above lowest polymorph in meV per atom: 435.5

# 2
Here is a geometry-optimized AcPOs structure from the Alexandria database. Energies are from PBE.

Structure (CIF):
```
data_AcPOs
_chemical_formula_sum 'Ac2 P2 Os2'
_symmetry_space_group_name_H-M 'P 1'
_symmetry_Int_Tables_number 1
_symmetry_space_group_name_Hall 'P 1'
_cell_length_a 3.213
_cell_length_b 3.213
_cell_length_c 11.757
_cell_angle_alpha 90.00
_cell_angle_beta 90.00
_cell_angle_gamma 90.00
loop_
_atom_site_label
_atom_site_fract_x
_atom_site_fract_y
_atom_site_fract_z
_atom_site_occupancy
Ac1 0.000 0.000 0.000 1
Ac2 0.500 0.500 0.500 1
P1 0.000 0.000 0.706 1
P2 0.500 0.500 0.206 1
Os1 0.000 0.000 0.294 1
Os2 0.500 0.500 0.794 1
```

Summary:
Energy of formation from the pure elements in eV per atom: -0.125
Raw total energy in eV/atom: -7.041
Space group: I4mm, No. 107
E above lowest polymorph in meV per atom: 467.9

# 3
Here is a geometry-optimized AcP2Os2 structure from the Alexandria database. Energies are from PBE.

Structure (CIF):
```
data_AcP2Os2
_chemical_formula_sum 'Ac2 P4 Os4'
_symmetry_space_group_name_H-M 'P 1'
_symmetry_Int_Tables_number 1
_symmetry_space_group_name_Hall 'P 1'
_cell_length_a 4.095
_cell_length_b 4.095
_cell_length_c 11.376
_cell_angle_alpha 90.00
_cell_angle_beta 90.00
_cell_angle_gamma 90.00
loop_
_atom_site_label
_atom_site_fract_x
_atom_site_fract_y
_atom_site_fract_z
_atom_site_occupancy
Ac1 0.000 0.000 0.000 1
Ac2 0.500 0.500 0.500 1
P1 0.000 0.000 0.352 1
P2 0.000 0.000 0.648 1
P3 0.500 0.500 0.148 1
P4 0.500 0.500 0.852 1
Os1 0.000 0.500 0.250 1
Os2 0.000 0.500 0.750 1
Os3 0.500 0.000 0.250 1
Os4 0.500 0.000 0.750 1
```

Summary:
Energy of formation from the pure elements in eV per atom: -0.734
Raw total energy in eV/atom: -8.212
Space group: I4/mmm, No. 139

# 4
Here is a geometry-optimized AcSiP6Os2 structure from the Alexandria database. Energies are from PBE.

Structure (CIF):
```
data_AcSiP6Os2
_chemical_formula_sum 'Ac1 Si1 P6 Os2'
_symmetry_space_group_name_H-M 'P 1'
_symmetry_Int_Tables_number 1
_symmetry_space_group_name_Hall 'P 1'
_cell_length_a 7.167
_cell_length_b 7.167
_cell_length_c 7.167
_cell_angle_alpha 53.70
_cell_angle_beta 53.70
_cell_angle_gamma 53.70
loop_
_atom_site_label
_atom_site_fract_x
_atom_site_fract_y
_atom_site_fract_z
_atom_site_occupancy
Ac1 0.000 0.000 0.000 1
Si1 0.500 0.500 0.500 1
P1 0.117 0.488 0.612 1
P2 0.388 0.883 0.512 1
P3 0.488 0.612 0.117 1
P4 0.512 0.388 0.883 1
P5 0.612 0.117 0.488 1
P6 0.883 0.512 0.388 1
Os1 0.312 0.312 0.312 1
Os2 0.688 0.688 0.688 1
```

Summary:
Raw total energy in eV/atom: -6.665
Space group: R-3, No. 148
E_form (uncorrected) in eV per atom: -0.22